Here is crystalline TbThCdTc at its relaxed geometry from Alexandria via LeMat-Bulk. Energies are from PBE.

a b c (Å): 5.159 5.159 5.159
angles (deg): 60.00 60.00 60.00
Fractional positions:
Tb (0.000, 0.000, 0.000)
Tc (0.250, 0.250, 0.250)
Th (0.500, 0.500, 0.500)
Cd (0.750, 0.750, 0.750)

- Calculated formation energy: -38.5 meV per atom
- Total moment: 0.000 Bohr magnetons per cell

Here is crystalline La3PrDy2As6 at its relaxed geometry from Alexandria via LeMat-Bulk. Energies are from PBE.

a b c (Å): 7.416 7.416 7.412
angles (deg): 99.60 99.60 120.00
Fractional positions:
La (0.166, 0.834, 0.500)
La (0.834, 0.166, 0.500)
La (0.500, 0.500, 0.500)
Pr (0.000, 0.000, 0.000)
Dy (0.333, 0.667, 0.000)
Dy (0.667, 0.333, 0.000)
As (0.920, 0.580, 0.759)
As (0.740, 0.740, 0.240)
As (0.080, 0.420, 0.241)
As (0.580, 0.920, 0.759)
As (0.260, 0.260, 0.760)
As (0.420, 0.080, 0.241)

- Calculated formation energy: -1537.6 meV per atom
- Total moment: 0.000 Bohr magnetons per cell

Here is crystalline CeTlGa2 at its relaxed geometry from Alexandria via LeMat-Bulk. Energies are from PBE.

a b c (Å): 4.358 4.596 4.596
angles (deg): 90.00 90.00 90.00
Fractional positions:
Tl (0.500, 0.000, 0.000)
Ga (0.000, 0.000, 0.500)
Ga (0.000, 0.500, 0.000)
Ce (0.500, 0.500, 0.500)

- Calculated formation energy: -362.1 meV per atom
- Energy relative to the lowest polymorph listed for this composition: 0 meV per atom
- Total moment: 0.699 Bohr magnetons per cell

Here is crystalline Ba3Mg8Ag3 at its relaxed geometry from Alexandria via LeMat-Bulk. Energies are from PBE.

a b c (Å): 5.039 9.543 9.543
angles (deg): 72.69 74.69 74.69
Fractional positions:
Ba (0.500, 0.500, 0.500)
Ba (0.831, 0.169, 0.169)
Ba (0.169, 0.831, 0.831)
Mg (0.606, 0.109, 0.680)
Mg (0.394, 0.891, 0.320)
Mg (0.606, 0.680, 0.109)
Mg (0.394, 0.320, 0.891)
Mg (0.817, 0.834, 0.531)
Mg (0.183, 0.166, 0.469)
Mg (0.817, 0.531, 0.834)
Mg (0.183, 0.469, 0.166)
Ag (0.500, 0.000, 0.000)
Ag (0.000, 0.747, 0.253)
Ag (0.000, 0.253, 0.747)

- Calculated formation energy: -107.8 meV per atom
- Total moment: 0.000 Bohr magnetons per cell

Here is crystalline RbZr3In at its relaxed geometry from Alexandria via LeMat-Bulk. Energies are from PBE.

a b c (Å): 5.544 5.544 5.544
angles (deg): 90.00 90.00 90.00
Fractional positions:
Rb (0.500, 0.500, 0.500)
Zr (0.000, 0.500, 0.000)
Zr (0.000, 0.000, 0.500)
Zr (0.500, 0.000, 0.000)
In (0.000, 0.000, 0.000)

- Calculated formation energy: 1215.6 meV per atom
- Energy relative to the lowest polymorph listed for this composition: 0 meV per atom
- Total moment: 3.229 Bohr magnetons per cell

Here is crystalline Sr2CuP2 at its relaxed geometry from Alexandria via LeMat-Bulk. Energies are from PBE.

a b c (Å): 4.149 5.968 10.443
angles (deg): 75.00 78.54 69.66
Fractional positions:
Sr (0.700, 0.245, 0.355)
Sr (0.910, 0.273, 0.907)
Sr (0.300, 0.755, 0.645)
Sr (0.090, 0.727, 0.093)
Cu (0.572, 0.180, 0.675)
Cu (0.428, 0.820, 0.325)
P (0.040, 0.334, 0.587)
P (0.652, 0.844, 0.852)
P (0.960, 0.666, 0.413)
P (0.348, 0.156, 0.148)

- Calculated formation energy: -858.1 meV per atom
- Energy relative to the lowest polymorph listed for this composition: 0 meV per atom
- Total moment: 0.000 Bohr magnetons per cell

Here is crystalline Al2ReAs at its relaxed geometry from Alexandria via LeMat-Bulk. Energies are from PBE.

a b c (Å): 4.772 4.772 4.772
angles (deg): 130.43 130.43 72.71
Fractional positions:
Re (0.750, 0.250, 0.500)
As (0.500, 0.500, 0.000)
Al (0.000, 0.000, 0.000)
Al (0.250, 0.750, 0.500)

- Calculated formation energy: 203.2 meV per atom
- Energy relative to the lowest polymorph listed for this composition: 269 meV per atom
- Total moment: 0.000 Bohr magnetons per cell

Here is crystalline AcTb6Tm3 at its relaxed geometry from Alexandria via LeMat-Bulk. Energies are from PBE.

a b c (Å): 9.806 9.806 6.963
angles (deg): 45.24 45.24 60.00
Fractional positions:
Ac (0.900, 0.900, 0.300)
Tb (0.900, 0.552, 0.300)
Tb (0.248, 0.900, 0.300)
Tb (0.552, 0.248, 0.300)
Tb (0.064, 0.400, 0.800)
Tb (0.736, 0.064, 0.800)
Tb (0.400, 0.736, 0.800)
Tm (0.400, 0.400, 0.800)
Tm (0.639, 0.639, 0.084)
Tm (0.161, 0.161, 0.516)

- Calculated formation energy: 297.4 meV per atom
- Total moment: 0.001 Bohr magnetons per cell